No. 1
Ta7Cd: optimized geometry, PBE-GGA.

Computed properties:
Formation energy ... 258 meV per atom
Magnetic moment ... 0.0 μB per formula unit
Space group ... Fm-3m

```
Ta7Cd
1.0
-0.9990 -5.6632 1.5677
-5.0253 -1.4603 2.8534
-4.2020 -3.1697 -2.7971
Ta Cd
7 1
direct
0.5000 0.0000 0.0000
0.0000 0.0000 0.5000
0.5000 0.0000 0.5000
0.0000 0.5000 0.0000
0.5000 0.5000 0.0000
0.0000 0.5000 0.5000
0.5000 0.5000 0.5000
0.0000 0.0000 0.0000
```


No. 2
TaCd7: optimized geometry, PBE-GGA.

Computed properties:
Formation energy ... 172 meV per atom
Magnetic moment ... 0.0 μB per formula unit
Space group ... Fm-3m

```
TaCd7
1.0
-6.0897 0.0224 -1.1859
-3.7945 3.6111 3.3246
-2.6326 4.9716 -2.6160
Ta Cd
1 7
direct
0.0000 0.0000 0.0000
0.5000 0.0000 0.0000
0.0000 0.0000 0.5000
0.5000 0.0000 0.5000
0.0000 0.5000 0.0000
0.5000 0.5000 0.0000
0.0000 0.5000 0.5000
0.5000 0.5000 0.5000
```


No. 3
TaCd3: optimized geometry, PBE-GGA.

Computed properties:
Formation energy ... 201 meV per atom
Magnetic moment ... 0.0 μB per formula unit
Space group ... P4/mmm

```
TaCd3
1.0
-2.2996 -1.7117 -0.7678
1.3682 -0.6992 -2.5390
3.9728 -7.1850 4.1195
Cd Ta
3 1
direct
0.0000 0.0000 0.9913
0.0000 0.0000 0.5087
0.5000 0.5000 0.2500
0.5000 0.5000 0.7500
```


No. 4
TaCd8: optimized geometry, PBE-GGA.

Computed properties:
Formation energy ... 170 meV per atom
Magnetic moment ... 0.0 μB per formula unit
Space group ... I4/mmm

```
TaCd8
1.0
-5.7096 5.7096 1.4902
5.7096 -5.7096 1.4902
5.7096 5.7096 -1.4902
Ta Cd
1 8
direct
0.0000 0.0000 0.0000
0.3339 0.0000 0.3339
0.6661 0.0000 0.6661
0.0000 0.6661 0.6661
0.3358 0.6642 0.0000
0.6642 0.6642 0.3284
0.0000 0.3339 0.3339
0.3358 0.3358 0.6716
0.6642 0.3358 0.0000
```